1.
# PBE-GGA K2UPbBr8, relaxed
# D(E_F)	5.5	states/eV/cell
# magnetization	2.00	μB/cell
data_K2UPbBr8
_chemical_formula_sum 'K2 U1 Pb1 Br8'
_space_group_name_H-M_alt 'P -1'
_space_group_IT_number 2
_space_group_name_Hall '-P 1'
_cell_length_a 7.104
_cell_length_b 7.610
_cell_length_c 9.186
_cell_angle_alpha 89.91
_cell_angle_beta 89.93
_cell_angle_gamma 87.25
loop_
_atom_site_label
_atom_site_type_symbol
_atom_site_fract_x
_atom_site_fract_y
_atom_site_fract_z
_atom_site_occupancy
K1 K 0.000 0.000 0.246 1
U1 U 0.500 0.500 0.500 1
Pb1 Pb 0.500 0.500 0.000 1
Br1 Br 0.258 0.823 0.000 1
Br2 Br 0.275 0.370 0.724 1
Br3 Br 0.277 0.367 0.276 1
Br4 Br 0.282 0.812 0.500 1


2.
# PBE-GGA KVPb2Br8, relaxed
# D(E_F)	8.9	states/eV/cell
# magnetization	2.00	μB/cell
data_KVPb2Br8
_chemical_formula_sum 'K1 V1 Pb2 Br8'
_space_group_name_H-M_alt 'P -1'
_space_group_IT_number 2
_space_group_name_Hall '-P 1'
_cell_length_a 6.653
_cell_length_b 7.022
_cell_length_c 9.010
_cell_angle_alpha 90.02
_cell_angle_beta 90.11
_cell_angle_gamma 91.59
loop_
_atom_site_label
_atom_site_type_symbol
_atom_site_fract_x
_atom_site_fract_y
_atom_site_fract_z
_atom_site_occupancy
K1 K 0.000 0.000 0.000 1
V1 V 0.000 0.000 0.500 1
Pb1 Pb 0.500 0.500 0.259 1
Br1 Br 0.211 0.695 0.499 1
Br2 Br 0.230 0.141 0.298 1
Br3 Br 0.232 0.140 0.703 1
Br4 Br 0.266 0.630 0.000 1


3.
# PBE-GGA KYPb2Br8, relaxed
# D(E_F)	0.0	states/eV/cell
# magnetization	0.00	μB/cell
data_KYPb2Br8
_chemical_formula_sum 'K1 Y1 Pb2 Br8'
_space_group_name_H-M_alt 'P 1 2/m 1'
_space_group_IT_number 10
_space_group_name_Hall '-P 2y'
_cell_length_a 6.849
_cell_length_b 9.222
_cell_length_c 7.236
_cell_angle_alpha 90.00
_cell_angle_beta 90.92
_cell_angle_gamma 90.00
loop_
_atom_site_label
_atom_site_type_symbol
_atom_site_fract_x
_atom_site_fract_y
_atom_site_fract_z
_atom_site_occupancy
K1 K 0.000 0.000 0.000 1
Y1 Y 0.000 0.500 0.000 1
Pb1 Pb 0.500 0.250 0.500 1
Br1 Br 0.238 0.500 0.679 1
Br2 Br 0.239 0.281 0.153 1
Br3 Br 0.268 0.000 0.635 1


4.
# PBE-GGA KYPbBr6, relaxed
# D(E_F)	0.0	states/eV/cell
# magnetization	0.00	μB/cell
data_KYPbBr6
_chemical_formula_sum 'K2 Y2 Pb2 Br12'
_space_group_name_H-M_alt 'P -3 1 c'
_space_group_IT_number 163
_space_group_name_Hall '-P 3 2c'
_cell_length_a 7.6357
_cell_length_b 7.6357
_cell_length_c 14.2244
_cell_angle_alpha 90.00
_cell_angle_beta 90.00
_cell_angle_gamma 120.00
loop_
_atom_site_label
_atom_site_type_symbol
_atom_site_fract_x
_atom_site_fract_y
_atom_site_fract_z
_atom_site_occupancy
K1 K 0.0000 0.0000 0.0000 1
Y1 Y 0.3333 0.6667 0.2500 1
Pb1 Pb 0.3333 0.6667 0.7500 1
Br1 Br 0.0234 0.3763 0.1346 1


5.
# PBE-GGA KZnPbBr5, relaxed
# D(E_F)	0.0	states/eV/cell
# magnetization	0.00	μB/cell
data_KZnPbBr5
_chemical_formula_sum 'K4 Zn4 Pb4 Br20'
_space_group_name_H-M_alt 'C 1 2/c 1'
_space_group_IT_number 15
_space_group_name_Hall '-C 2yc'
_cell_length_a 9.715
_cell_length_b 12.758
_cell_length_c 10.686
_cell_angle_alpha 90.00
_cell_angle_beta 114.25
_cell_angle_gamma 90.00
loop_
_atom_site_label
_atom_site_type_symbol
_atom_site_fract_x
_atom_site_fract_y
_atom_site_fract_z
_atom_site_occupancy
K1 K 0.000 0.147 0.250 1
Zn1 Zn 0.000 0.183 0.750 1
Pb1 Pb 0.000 0.500 0.000 1
Br1 Br 0.000 0.400 0.250 1
Br2 Br 0.128 0.287 0.638 1
Br3 Br 0.169 0.067 0.933 1


6.
# PBE-GGA K2ZnPbBr6, relaxed
# D(E_F)	0.0	states/eV/cell
# magnetization	0.00	μB/cell
data_K2ZnPbBr6
_chemical_formula_sum 'K2 Zn1 Pb1 Br6'
_space_group_name_H-M_alt 'P 1'
_space_group_IT_number 1
_space_group_name_Hall 'P 1'
_cell_length_a 7.182
_cell_length_b 8.259
_cell_length_c 8.291
_cell_angle_alpha 108.18
_cell_angle_beta 102.70
_cell_angle_gamma 115.01
loop_
_atom_site_label
_atom_site_type_symbol
_atom_site_fract_x
_atom_site_fract_y
_atom_site_fract_z
_atom_site_occupancy
K1 K 0.000 0.000 0.000 1
K2 K 0.160 0.442 0.643 1
Zn1 Zn 0.642 0.224 0.988 1
Pb1 Pb 0.571 0.767 0.356 1
Br1 Br 0.015 0.433 0.237 1
Br2 Br 0.016 0.971 0.391 1
Br3 Br 0.427 0.912 0.004 1
Br4 Br 0.431 0.391 0.995 1
Br5 Br 0.652 0.599 0.591 1
Br6 Br 0.705 0.151 0.700 1


7.
# PBE-GGA K12Pd3Br5, relaxed
# D(E_F)	44.6	states/eV/cell
# magnetization	0.00	μB/cell
data_K12Pd3Br5
_chemical_formula_sum 'K96 Pd24 Br40'
_space_group_name_H-M_alt 'I a -3 d'
_space_group_IT_number 230
_space_group_name_Hall '-I 4bd 2c 3'
_cell_length_a 19.352
_cell_length_b 19.352
_cell_length_c 19.352
_cell_angle_alpha 90.00
_cell_angle_beta 90.00
_cell_angle_gamma 90.00
loop_
_atom_site_label
_atom_site_type_symbol
_atom_site_fract_x
_atom_site_fract_y
_atom_site_fract_z
_atom_site_occupancy
K1 K 0.015 0.071 0.655 1
Pd1 Pd 0.000 0.250 0.125 1
Br1 Br 0.000 0.000 0.000 1
Br2 Br 0.000 0.250 0.375 1


8.
# PBE-GGA K3PdBr, relaxed
# D(E_F)	0.0	states/eV/cell
# magnetization	0.00	μB/cell
data_K3PdBr
_chemical_formula_sum 'K3 Pd1 Br1'
_space_group_name_H-M_alt 'P m -3 m'
_space_group_IT_number 221
_space_group_name_Hall '-P 4 2 3'
_cell_length_a 6.110
_cell_length_b 6.110
_cell_length_c 6.110
_cell_angle_alpha 90.00
_cell_angle_beta 90.00
_cell_angle_gamma 90.00
loop_
_atom_site_label
_atom_site_type_symbol
_atom_site_fract_x
_atom_site_fract_y
_atom_site_fract_z
_atom_site_occupancy
K1 K 0.000 0.000 0.500 1
Pd1 Pd 0.000 0.000 0.000 1
Br1 Br 0.500 0.500 0.500 1


9.
# PBE-GGA K3PdBr6, relaxed
# D(E_F)	1.2	states/eV/cell
# magnetization	1.94	μB/cell
data_K3PdBr6
_chemical_formula_sum 'K6 Pd2 Br12'
_space_group_name_H-M_alt 'P 1 21/c 1'
_space_group_IT_number 14
_space_group_name_Hall '-P 2ybc'
_cell_length_a 7.641
_cell_length_b 8.385
_cell_length_c 13.012
_cell_angle_alpha 90.00
_cell_angle_beta 123.50
_cell_angle_gamma 90.00
loop_
_atom_site_label
_atom_site_type_symbol
_atom_site_fract_x
_atom_site_fract_y
_atom_site_fract_z
_atom_site_occupancy
K1 K 0.000 0.000 0.000 1
K2 K 0.211 0.081 0.745 1
Pd1 Pd 0.500 0.000 0.500 1
Br1 Br 0.189 0.161 0.459 1
Br2 Br 0.254 0.721 0.423 1
Br3 Br 0.406 0.052 0.285 1


10.
# PBE-GGA KPdBr3, relaxed
# magnetization	0.00	μB/cell
data_KPdBr3
_chemical_formula_sum 'K2 Pd2 Br6'
_space_group_name_H-M_alt 'P -1'
_space_group_IT_number 2
_space_group_name_Hall '-P 1'
_cell_length_a 6.950
_cell_length_b 6.989
_cell_length_c 7.835
_cell_angle_alpha 90.43
_cell_angle_beta 91.11
_cell_angle_gamma 118.10
loop_
_atom_site_label
_atom_site_type_symbol
_atom_site_fract_x
_atom_site_fract_y
_atom_site_fract_z
_atom_site_occupancy
K1 K 0.147 0.355 0.251 1
Pd1 Pd 0.500 0.000 0.000 1
Pd2 Pd 0.500 0.000 0.500 1
Br1 Br 0.130 0.829 0.119 1
Br2 Br 0.333 0.631 0.620 1
Br3 Br 0.371 0.125 0.749 1


11.
# PBE-GGA K3Pd2Br8, relaxed
# D(E_F)	17.8	states/eV/cell
# magnetization	0.00	μB/cell
data_K3Pd2Br8
_chemical_formula_sum 'K9 Pd6 Br24'
_space_group_name_H-M_alt 'R -3 m'
_space_group_IT_number 166
_space_group_name_Hall '-R 3 2"'
_cell_length_a 7.0055
_cell_length_b 7.0055
_cell_length_c 30.6975
_cell_angle_alpha 90.00
_cell_angle_beta 90.00
_cell_angle_gamma 120.00
loop_
_atom_site_label
_atom_site_type_symbol
_atom_site_fract_x
_atom_site_fract_y
_atom_site_fract_z
_atom_site_occupancy
K1 K 0.0000 0.0000 0.0000 1
K2 K 0.0000 0.0000 0.2084 1
Pd1 Pd 0.0000 0.0000 0.3963 1
Br1 Br 0.0000 0.0000 0.3139 1
Br2 Br 0.0183 0.5091 0.7708 1


12.
# PBE-GGA KPd2Br6, relaxed
# D(E_F)	8.0	states/eV/cell
# magnetization	0.00	μB/cell
data_KPd2Br6
_chemical_formula_sum 'K2 Pd4 Br12'
_space_group_name_H-M_alt 'C 1 2/m 1'
_space_group_IT_number 12
_space_group_name_Hall '-C 2y'
_cell_length_a 12.155
_cell_length_b 5.775
_cell_length_c 10.176
_cell_angle_alpha 90.00
_cell_angle_beta 120.62
_cell_angle_gamma 90.00
loop_
_atom_site_label
_atom_site_type_symbol
_atom_site_fract_x
_atom_site_fract_y
_atom_site_fract_z
_atom_site_occupancy
K1 K 0.000 0.000 0.000 1
Pd1 Pd 0.175 0.000 0.570 1
Br1 Br 0.034 0.000 0.683 1
Br2 Br 0.136 0.500 0.168 1
Br3 Br 0.194 0.500 0.555 1


13.
# PBE-GGA KPd2Br, relaxed
# D(E_F)	3.5	states/eV/cell
# magnetization	0.00	μB/cell
data_KPd2Br
_chemical_formula_sum 'K4 Pd8 Br4'
_space_group_name_H-M_alt 'I 41/a m d'
_space_group_IT_number 141
_cell_length_a 5.463
_cell_length_b 5.463
_cell_length_c 16.565
_cell_angle_alpha 90.00
_cell_angle_beta 90.00
_cell_angle_gamma 90.00
loop_
_space_group_symop_operation_xyz
'x,y,z'
'-x,-y,-z'
'-y+1/4,x+3/4,z+1/4'
'y+1/4,-x+3/4,-z+1/4'
'-x+1/2,-y,z+1/2'
'x+1/2,y,-z+1/2'
'y+1/4,-x+1/4,z+3/4'
'-y+1/4,x+1/4,-z+3/4'
'x,-y,-z'
'-x,y,z'
'-y+1/4,-x+1/4,-z+3/4'
'y+1/4,x+1/4,z+3/4'
'-x+1/2,y,-z+1/2'
'x+1/2,-y,z+1/2'
'y+1/4,x+3/4,-z+1/4'
'-y+1/4,-x+3/4,z+1/4'
'x+1/2,y+1/2,z+1/2'
'-x+1/2,-y+1/2,-z+1/2'
'-y+3/4,x+1/4,z+3/4'
'y+3/4,-x+1/4,-z+3/4'
'-x,-y+1/2,z'
'x,y+1/2,-z'
'y+3/4,-x+3/4,z+1/4'
'-y+3/4,x+3/4,-z+1/4'
'x+1/2,-y+1/2,-z+1/2'
'-x+1/2,y+1/2,z+1/2'
'-y+3/4,-x+3/4,-z+1/4'
'y+3/4,x+3/4,z+1/4'
'-x,y+1/2,-z'
'x,-y+1/2,z'
'y+3/4,x+1/4,-z+3/4'
'-y+3/4,-x+1/4,z+3/4'
loop_
_atom_site_label
_atom_site_type_symbol
_atom_site_fract_x
_atom_site_fract_y
_atom_site_fract_z
_atom_site_occupancy
K1 K 0.000 0.250 0.375 1
Pd1 Pd 0.000 0.000 0.000 1
Br1 Br 0.000 0.250 0.875 1


14.
# PBE-GGA KPd3Br, relaxed
# D(E_F)	9.9	states/eV/cell
# magnetization	0.00	μB/cell
data_KPd3Br
_chemical_formula_sum 'K1 Pd3 Br1'
_space_group_name_H-M_alt 'P m -3 m'
_space_group_IT_number 221
_space_group_name_Hall '-P 4 2 3'
_cell_length_a 5.131
_cell_length_b 5.131
_cell_length_c 5.131
_cell_angle_alpha 90.00
_cell_angle_beta 90.00
_cell_angle_gamma 90.00
loop_
_atom_site_label
_atom_site_type_symbol
_atom_site_fract_x
_atom_site_fract_y
_atom_site_fract_z
_atom_site_occupancy
K1 K 0.000 0.000 0.000 1
Pd1 Pd 0.000 0.000 0.500 1
Br1 Br 0.500 0.500 0.500 1


15.
# PBE-GGA KPd2Br, relaxed
# D(E_F)	10.4	states/eV/cell
# magnetization	0.00	μB/cell
data_KPd2Br
_chemical_formula_sum 'K4 Pd8 Br4'
_space_group_name_H-M_alt 'F m -3 m'
_space_group_IT_number 225
_space_group_name_Hall '-F 4 2 3'
_cell_length_a 6.978
_cell_length_b 6.978
_cell_length_c 6.978
_cell_angle_alpha 90.00
_cell_angle_beta 90.00
_cell_angle_gamma 90.00
loop_
_atom_site_label
_atom_site_type_symbol
_atom_site_fract_x
_atom_site_fract_y
_atom_site_fract_z
_atom_site_occupancy
K1 K 0.000 0.000 0.000 1
Pd1 Pd 0.250 0.250 0.250 1
Br1 Br 0.000 0.000 0.500 1


16.
# PBE-GGA K4PdBr5, relaxed
# D(E_F)	5.8	states/eV/cell
# magnetization	2.01	μB/cell
data_K4PdBr5
_chemical_formula_sum 'K8 Pd2 Br10'
_space_group_name_H-M_alt 'I 4'
_space_group_IT_number 79
_space_group_name_Hall 'I 4'
_cell_length_a 10.098
_cell_length_b 10.098
_cell_length_c 6.674
_cell_angle_alpha 90.00
_cell_angle_beta 90.00
_cell_angle_gamma 90.00
loop_
_atom_site_label
_atom_site_type_symbol
_atom_site_fract_x
_atom_site_fract_y
_atom_site_fract_z
_atom_site_occupancy
K1 K 0.094 0.705 0.000 1
Pd1 Pd 0.000 0.000 0.511 1
Br1 Br 0.000 0.000 0.983 1
Br2 Br 0.083 0.736 0.499 1


17.
# PBE-GGA KPdBr6, relaxed
# D(E_F)	8.9	states/eV/cell
# magnetization	0.00	μB/cell
data_KPdBr6
_chemical_formula_sum 'K2 Pd2 Br12'
_space_group_name_H-M_alt 'C 1 2/m 1'
_space_group_IT_number 12
_space_group_name_Hall '-C 2y'
_cell_length_a 11.326
_cell_length_b 9.925
_cell_length_c 7.873
_cell_angle_alpha 90.00
_cell_angle_beta 131.62
_cell_angle_gamma 90.00
loop_
_atom_site_label
_atom_site_type_symbol
_atom_site_fract_x
_atom_site_fract_y
_atom_site_fract_z
_atom_site_occupancy
K1 K 0.000 0.000 0.000 1
Pd1 Pd 0.000 0.500 0.500 1
Br1 Br 0.169 0.500 0.920 1
Br2 Br 0.188 0.312 0.576 1


18.
# PBE-GGA KPdBr6, relaxed
# D(E_F)	3.9	states/eV/cell
# magnetization	0.64	μB/cell
data_KPdBr6
_chemical_formula_sum 'K1 Pd1 Br6'
_space_group_name_H-M_alt 'P -1'
_space_group_IT_number 2
_space_group_name_Hall '-P 1'
_cell_length_a 6.366
_cell_length_b 6.510
_cell_length_c 7.341
_cell_angle_alpha 102.14
_cell_angle_beta 113.45
_cell_angle_gamma 101.46
loop_
_atom_site_label
_atom_site_type_symbol
_atom_site_fract_x
_atom_site_fract_y
_atom_site_fract_z
_atom_site_occupancy
K1 K 0.000 0.000 0.000 1
Pd1 Pd 0.000 0.500 0.500 1
Br1 Br 0.205 0.213 0.552 1
Br2 Br 0.207 0.603 0.289 1
Br3 Br 0.353 0.771 0.840 1


19.
# PBE-GGA KPdBr2, relaxed
# D(E_F)	14.6	states/eV/cell
# magnetization	3.00	μB/cell
data_KPdBr2
_chemical_formula_sum 'K3 Pd3 Br6'
_space_group_name_H-M_alt 'R -3 m'
_space_group_IT_number 166
_space_group_name_Hall '-R 3 2"'
_cell_length_a 5.0362
_cell_length_b 5.0362
_cell_length_c 24.1879
_cell_angle_alpha 90.00
_cell_angle_beta 90.00
_cell_angle_gamma 120.00
loop_
_atom_site_label
_atom_site_type_symbol
_atom_site_fract_x
_atom_site_fract_y
_atom_site_fract_z
_atom_site_occupancy
K1 K 0.0000 0.0000 0.0000 1
Pd1 Pd 0.0000 0.0000 0.5000 1
Br1 Br 0.0000 0.0000 0.3992 1


Respective formation energy (no corrections) values: -1342; -979; -1360; -1554; -1114; -1235; -753; -499; -1112; -875; -772; -578; -148; 1232; 206; -1309; -500; -502; -638 meV per atom.